A plane-wave DFT calculation with GGA+U was carried out for an optimized crystal structure of PmNpMn2O6.

## Properties
E_tot in eV per atom: -8.507
Total magnetization in μB/f.u.: 8.0
Space group: P1
Mass density in Mg/m³: 7.21
Crystal system: triclinic

Cell lengths 5.561, 5.574, 5.955 Å; angles 62.48, 62.45, 60.12 degrees
Positions (direct):
Pm1 0.000 0.000 0.000
Np1 0.515 0.515 0.454
Mn1 0.207 0.203 0.388
Mn2 0.726 0.728 0.823
O1 0.112 0.812 0.652
O2 0.331 0.570 0.180
O3 0.422 0.112 0.653
O4 0.571 0.919 0.172
O5 0.805 0.424 0.656
O6 0.920 0.333 0.177